Material: Rb2BeOs
Method: DFT, GGA-PBE
State: relaxed

Results
DFT formation energy, eV/atom: 1.821
Calculated volume, Å³ per atom: 23.5
Energy, eV per formula unit: -9.608

Lattice parameters (Å, degrees): 4.0198 4.0198 11.9661 80.33 80.33 90.00
Closest atoms and distances in Å follow each position.
Atoms (fractional coordinates):
Be  0.2500  0.7500  0.5000  4 Os 2.84
Be  0.5000  0.5000  0.0000  4 Os 2.84
Rb  0.1253  0.6250  0.2500  4 Rb 2.84
Rb  0.6247  0.1250  0.2500  4 Rb 2.84
Rb  0.3750  0.3753  0.7500  4 Rb 2.84
Rb  0.8750  0.8747  0.7500  4 Rb 2.84
Os  0.0000  0.0000  0.0000  4 Be 2.84
Os  0.7500  0.2500  0.5000  4 Be 2.84